## Li3Co2Si2O8 (GGA+U)

Data for a relaxed Li3Co2Si2O8 crystal.

Cell lengths 5.0331, 11.0351, 6.1238 Å; angles 90.00, 90.07, 90.00 degrees
Space group P2_1 (No. 4)
Unique sites:
Li1 0.0612 0.0000 0.2456 (multiplicity 2)
Li2 0.0751 0.9931 0.7434 (multiplicity 2)
Li3 0.4350 0.8297 0.2640 (multiplicity 2)
Co1 0.0790 0.2475 0.4848 (multiplicity 2)
Co2 0.4362 0.5850 0.0088 (multiplicity 2)
Si1 0.0656 0.2507 0.9897 (multiplicity 2)
Si2 0.4187 0.5862 0.5041 (multiplicity 2)
O1 0.0064 0.8258 0.7912 (multiplicity 2)
O2 0.0392 0.8229 0.2296 (multiplicity 2)
O3 0.0581 0.6082 0.0043 (multiplicity 2)
O4 0.0922 0.5809 0.5049 (multiplicity 2)
O5 0.3924 0.2337 0.9697 (multiplicity 2)
O6 0.4662 0.2238 0.4989 (multiplicity 2)
O7 0.4725 0.0167 0.7214 (multiplicity 2)
O8 0.4734 0.0134 0.2701 (multiplicity 2)

The value obtained for the density of states at the Fermi level is 0.104 states/eV per atom. The value obtained for the energy above the most stable polymorph in this dataset is 16 meV/atom. As for the total magnetization: 0.47 μB/atom.